[1]
Density functional theory data (PBE) for crystalline ZrAl2Pb at its relaxed geometry.

Properties
- D(E_F): 2.76 states/eV per cell
- Total DFT energy (no corrections): -4.923 eV per atom

Unit cell a=5.170 b=5.170 c=3.205 alpha=90.00 beta=90.00 gamma=90.00
Space group P4/mmm (No. 123)
Asymmetric unit:
Zr 0.000 0.000 0.000
Al 0.000 0.500 0.500
Pb 0.500 0.500 0.000

***

[2]
Density functional theory data (PBE) for crystalline SrAs2SeI at its relaxed geometry.

Properties
- D(E_F): 7.66 states/eV per cell
- Formation energy (no corrections): 0.695 eV/atom
- Excess energy over the best structure of this formula in the dataset: 463 meV/atom
- Total DFT energy (no corrections): -2.508 eV per atom

Unit cell a=5.994 b=5.994 c=5.637 alpha=90.00 beta=90.00 gamma=90.00
Space group P4/mmm (No. 123)
Asymmetric unit:
Sr 0.000 0.000 0.000
As 0.000 0.500 0.000
Se 0.000 0.000 0.500
I 0.500 0.500 0.500

***

[3]
Density functional theory data (PBE) for crystalline Dy5As2P2 at its relaxed geometry.

Properties
- D(E_F): 28.48 states/eV per cell
- Total DFT energy (no corrections): -6.102 eV per atom

Unit cell a=14.334 b=7.530 c=7.631 alpha=90.00 beta=90.00 gamma=90.00
Space group Cmce (No. 64)
Asymmetric unit:
Dy 0.000 0.000 0.000
Dy 0.133 0.160 0.342
As 0.200 0.000 0.000
P 0.000 0.145 0.644

***

[4]
Density functional theory data (PBE) for crystalline ScCr2Cl at its relaxed geometry.

Properties
- D(E_F): 3.91 states/eV per cell
- Formation energy (no corrections): 0.645 eV/atom
- Excess energy over the best structure of this formula in the dataset: 838 meV/atom
- Total DFT energy (no corrections): -6.212 eV per atom

Unit cell a=4.778 b=4.778 c=3.195 alpha=90.00 beta=90.00 gamma=90.00
Space group P4/mmm (No. 123)
Asymmetric unit:
Sc 0.000 0.000 0.000
Cr 0.000 0.500 0.500
Cl 0.500 0.500 0.000

***

Repeat the fourth record exactly.
Density functional theory data (PBE) for crystalline ScCr2Cl at its relaxed geometry.

Properties
- D(E_F): 3.91 states/eV per cell
- Formation energy (no corrections): 0.645 eV/atom
- Excess energy over the best structure of this formula in the dataset: 838 meV/atom
- Total DFT energy (no corrections): -6.212 eV per atom

Unit cell a=4.778 b=4.778 c=3.195 alpha=90.00 beta=90.00 gamma=90.00
Space group P4/mmm (No. 123)
Asymmetric unit:
Sc 0.000 0.000 0.000
Cr 0.000 0.500 0.500
Cl 0.500 0.500 0.000

***

Question: Which of these has the lowest total DFT energy (no corrections)?
Answer: ScCr2Cl

***

Question: What is the total DFT energy (no corrections) in the second record?
Answer: -2.508 eV per atom

***

Question: Look up the D(E_F) of the second one.
Answer: 7.66 states/eV per cell